1.
DFT (PBE) results for a geometry-optimized CaPr2Sm4Y structure.

Summary:
formation energy	0.385	eV per atom
magnetization	0.0	μB per formula unit
E	-4.228	eV per atom

a b c (Å): 13.977 13.493 6.943
angles (deg): 90.00 119.49 90.00
Space group C2/c (No. 15)
One atom of each set of equivalent atoms:
Ca  0.000  0.000  0.000 (multiplicity 4)
Pr  0.000  0.500  0.000 (multiplicity 4)
Pr  0.250  0.250  0.000 (multiplicity 4)
Sm  0.013  0.251  0.515 (multiplicity 8)
Sm  0.237  0.499  0.461 (multiplicity 8)
Y  0.250  0.250  0.500 (multiplicity 4)


2.
DFT (PBE) results for a geometry-optimized BaMg2Sb2 structure.

Summary:
magnetization	0.0	μB per formula unit
formation energy without anion corrections	-0.739	eV per atom
E	-3.410	eV per atom

a b c (Å): 4.600 4.600 14.837
angles (deg): 90.00 90.00 90.00
Space group I4/mmm (No. 139)
One atom of each set of equivalent atoms:
Ba  0.000  0.000  0.000 (multiplicity 2)
Mg  0.000  0.500  0.250 (multiplicity 4)
Sb  0.000  0.000  0.370 (multiplicity 4)


3.
DFT (PBE) results for a geometry-optimized Pt2Pb structure.

Summary:
formation energy	-0.126	eV per atom
magnetization	0.0	μB per formula unit
E	-5.389	eV per atom

a b c (Å): 5.5218 5.5218 17.8273
angles (deg): 90.00 90.00 120.00
Space group P6_3/mmc (No. 194)
One atom of each set of equivalent atoms:
Pt  0.0000  0.5000  0.0000 (multiplicity 6)
Pt  0.1663  0.3326  0.2500 (multiplicity 6)
Pt  0.3333  0.6667  0.1233 (multiplicity 4)
Pb  0.0000  0.0000  0.0953 (multiplicity 4)
Pb  0.3333  0.6667  0.6560 (multiplicity 4)


4.
DFT (PBE) results for a geometry-optimized SiNiBi structure.

Summary:
magnetization	0.0	μB per formula unit
formation energy without anion corrections	0.167	eV per atom
E	-4.862	eV per atom

a b c (Å): 11.153 3.474 6.006
angles (deg): 90.00 90.00 90.00
Space group Amm2 (No. 38)
One atom of each set of equivalent atoms:
Si  0.113  0.000  0.000 (multiplicity 4)
Ni  0.000  0.000  0.666 (multiplicity 2)
Ni  0.500  0.000  0.669 (multiplicity 2)
Bi  0.335  0.000  0.335 (multiplicity 4)


5.
DFT (PBE) results for a geometry-optimized Pa4Tl2N structure.

Summary:
magnetization	0.0	μB per formula unit
formation energy without anion corrections	-0.155	eV per atom
E	-7.447	eV per atom

a b c (Å): 4.698 4.698 16.026
angles (deg): 90.00 90.00 90.00
Space group I4/mmm (No. 139)
One atom of each set of equivalent atoms:
Pa  0.000  0.000  0.150 (multiplicity 4)
Pa  0.000  0.500  0.000 (multiplicity 4)
Tl  0.000  0.000  0.349 (multiplicity 4)
N  0.000  0.000  0.000 (multiplicity 2)


6.
DFT (PBE) results for a geometry-optimized CaHgBi2C structure.

Summary:
formation energy	0.889	eV per atom
magnetization	0.0	μB per formula unit
E	-2.969	eV per atom

a b c (Å): 6.124 6.124 3.941
angles (deg): 90.00 90.00 90.00
Space group P4/mmm (No. 123)
One atom of each set of equivalent atoms:
Ca  0.000  0.000  0.000 (multiplicity 1)
Hg  0.500  0.500  0.500 (multiplicity 1)
Bi  0.000  0.500  0.500 (multiplicity 2)
C  0.500  0.500  0.000 (multiplicity 1)


7.
DFT (PBE) results for a geometry-optimized LiAc2Au2O6 structure.

Summary:
magnetization	1.0	μB per formula unit
formation energy without anion corrections	-1.377	eV per atom
E	-5.598	eV per atom

a b c (Å): 6.0684 6.0684 16.5500
angles (deg): 90.00 90.00 120.00
Space group R-3m (No. 166, hexagonal axes)
One atom of each set of equivalent atoms:
Li  0.0000  0.0000  0.0000 (multiplicity 3)
Ac  0.0000  0.0000  0.2132 (multiplicity 6)
Au  0.0000  0.0000  0.4128 (multiplicity 6)
O  0.0545  0.5272  0.7600 (multiplicity 18)


8.
DFT (PBE) results for a geometry-optimized TiCrCuS4 structure.

Summary:
magnetization	3.0	μB per formula unit
E above lowest polymorph	0.223	eV/atom
formation energy without anion corrections	-0.681	eV per atom
E	-6.127	eV per atom

a b c (Å): 6.282 7.274 12.888
angles (deg): 81.46 85.32 89.86
Space group P1 (No. 1)
One atom of each set of equivalent atoms:
Ti  0.000  0.000  0.000 (multiplicity 1)
Ti  0.091  0.186  0.282 (multiplicity 1)
Ti  0.474  0.782  0.003 (multiplicity 1)
Ti  0.864  0.329  0.721 (multiplicity 1)
Cr  0.383  0.590  0.726 (multiplicity 1)
Cr  0.599  0.935  0.288 (multiplicity 1)
Cr  0.601  0.449  0.280 (multiplicity 1)
Cr  0.859  0.838  0.717 (multiplicity 1)
Cu  0.119  0.702  0.292 (multiplicity 1)
Cu  0.357  0.090  0.713 (multiplicity 1)
Cu  0.485  0.259  0.997 (multiplicity 1)
Cu  0.987  0.537  0.008 (multiplicity 1)
S  0.036  0.104  0.640 (multiplicity 1)
S  0.057  0.604  0.658 (multiplicity 1)
S  0.127  0.243  0.102 (multiplicity 1)
S  0.142  0.750  0.110 (multiplicity 1)
S  0.329  0.037  0.895 (multiplicity 1)
S  0.340  0.544  0.901 (multiplicity 1)
S  0.425  0.179  0.350 (multiplicity 1)
S  0.438  0.668  0.359 (multiplicity 1)
S  0.540  0.357  0.651 (multiplicity 1)
S  0.542  0.852  0.651 (multiplicity 1)
S  0.630  0.493  0.105 (multiplicity 1)
S  0.641  0.983  0.108 (multiplicity 1)
S  0.826  0.797  0.897 (multiplicity 1)
S  0.837  0.285  0.901 (multiplicity 1)
S  0.916  0.920  0.363 (multiplicity 1)
S  0.925  0.434  0.344 (multiplicity 1)


9.
DFT (PBE) results for a geometry-optimized TaGaOs2F structure.

Summary:
magnetization	0.0	μB per formula unit
formation energy without anion corrections	0.773	eV per atom
E	-7.069	eV per atom

a b c (Å): 4.287 4.287 4.095
angles (deg): 90.00 90.00 90.00
Space group P4/mmm (No. 123)
One atom of each set of equivalent atoms:
Ta  0.000  0.000  0.000 (multiplicity 1)
Ga  0.500  0.500  0.000 (multiplicity 1)
Os  0.000  0.500  0.500 (multiplicity 2)
F  0.500  0.500  0.500 (multiplicity 1)


10.
DFT (PBE) results for a geometry-optimized TlSiSe3 structure.

Summary:
magnetization	0.0	μB per formula unit
formation energy without anion corrections	0.919	eV per atom
E	-2.730	eV per atom

a b c (Å): 5.328 5.328 5.328
angles (deg): 90.00 90.00 90.00
Space group Pm-3m (No. 221)
One atom of each set of equivalent atoms:
Tl  0.000  0.000  0.000 (multiplicity 1)
Si  0.500  0.500  0.500 (multiplicity 1)
Se  0.000  0.000  0.500 (multiplicity 3)


11.
DFT (PBE) results for a geometry-optimized AgHg2I2 structure.

Summary:
magnetization	0.0	μB per formula unit
E above lowest polymorph	0.000	eV/atom
formation energy without anion corrections	-0.104	eV per atom
E	-1.415	eV per atom

a b c (Å): 13.640 6.905 7.371
angles (deg): 90.00 104.03 90.00
Space group C2/c (No. 15)
One atom of each set of equivalent atoms:
Ag  0.000  0.107  0.250 (multiplicity 4)
Hg  0.094  0.228  0.663 (multiplicity 8)
I  0.161  0.350  0.221 (multiplicity 8)


12.
DFT (PBE) results for a geometry-optimized Pm5TlIn3 structure.

Summary:
formation energy	-0.416	eV per atom
magnetization	0.0	μB per formula unit
E	-4.231	eV per atom

a b c (Å): 9.5862 9.5862 6.7627
angles (deg): 90.00 90.00 120.00
Space group P6_3/mcm (No. 193)
One atom of each set of equivalent atoms:
Pm  0.0000  0.2932  0.2500 (multiplicity 6)
Pm  0.3333  0.6667  0.0000 (multiplicity 4)
Tl  0.0000  0.0000  0.0000 (multiplicity 2)
In  0.0000  0.3690  0.7500 (multiplicity 6)


13.
DFT (PBE) results for a geometry-optimized AlS6F structure.

Summary:
magnetization	0.0	μB per formula unit
formation energy without anion corrections	-0.242	eV per atom
E	-4.039	eV per atom

a b c (Å): 6.049 18.287 3.767
angles (deg): 90.00 92.08 90.00
Space group C2/m (No. 12)
One atom of each set of equivalent atoms:
Al  0.000  0.000  0.000 (multiplicity 2)
S  0.134  0.500  0.830 (multiplicity 4)
S  0.242  0.278  0.775 (multiplicity 8)
F  0.000  0.000  0.500 (multiplicity 2)


14.
DFT (PBE) results for a geometry-optimized LiCo2Pd2 structure.

Summary:
formation energy	0.034	eV per atom
magnetization	4.1	μB per formula unit
E above lowest polymorph	0.000	eV/atom
E	-5.268	eV per atom

a b c (Å): 7.365 7.365 2.663
angles (deg): 90.00 90.00 90.00
Space group P4/mbm (No. 127)
One atom of each set of equivalent atoms:
Li  0.000  0.000  0.000 (multiplicity 2)
Co  0.110  0.390  0.000 (multiplicity 4)
Pd  0.184  0.684  0.500 (multiplicity 4)


15.
DFT (PBE) results for a geometry-optimized Ti6BPb3 structure.

Summary:
formation energy	0.012	eV per atom
magnetization	0.8	μB per formula unit
E	-6.505	eV per atom

a b c (Å): 10.201 5.887 7.267
angles (deg): 90.00 112.11 90.00
Space group C2/m (No. 12)
One atom of each set of equivalent atoms:
Ti  0.104  0.248  0.389 (multiplicity 8)
Ti  0.184  0.500  0.774 (multiplicity 4)
B  0.000  0.500  0.500 (multiplicity 2)
Pb  0.000  0.000  0.000 (multiplicity 2)
Pb  0.210  0.000  0.772 (multiplicity 4)


16.
DFT (PBE) results for a geometry-optimized Ta6Co16Si7 structure.

Summary:
magnetization	0.0	μB per formula unit
formation energy without anion corrections	-0.584	eV per atom
E	-8.266	eV per atom

a b c (Å): 11.165 11.165 11.165
angles (deg): 90.00 90.00 90.00
Space group Fm-3m (No. 225)
One atom of each set of equivalent atoms:
Ta  0.000  0.000  0.202 (multiplicity 24)
Co  0.119  0.119  0.381 (multiplicity 32)
Co  0.166  0.166  0.166 (multiplicity 32)
Si  0.000  0.000  0.500 (multiplicity 4)
Si  0.000  0.250  0.250 (multiplicity 24)


17.
DFT (PBE) results for a geometry-optimized PmYP structure.

Summary:
formation energy	-0.858	eV per atom
magnetization	0.0	μB per formula unit
E above lowest polymorph	0.109	eV/atom
E	-6.399	eV per atom

a b c (Å): 6.752 6.752 6.752
angles (deg): 90.00 90.00 90.00
Space group F-43m (No. 216)
One atom of each set of equivalent atoms:
Pm  0.000  0.000  0.000 (multiplicity 4)
Y  0.000  0.000  0.500 (multiplicity 4)
P  0.250  0.250  0.750 (multiplicity 4)


18.
DFT (PBE) results for a geometry-optimized Be3SnW structure.

Summary:
formation energy	1.245	eV per atom
magnetization	0.0	μB per formula unit
E above lowest polymorph	0.000	eV/atom
E	-4.382	eV per atom

a b c (Å): 4.416 4.416 4.416
angles (deg): 90.00 90.00 90.00
Space group Pm-3m (No. 221)
One atom of each set of equivalent atoms:
Be  0.000  0.000  0.500 (multiplicity 3)
Sn  0.500  0.500  0.500 (multiplicity 1)
W  0.000  0.000  0.000 (multiplicity 1)


19.
DFT (PBE) results for a geometry-optimized La2PuCr2N6 structure.

Summary:
magnetization	6.0	μB per formula unit
formation energy without anion corrections	-0.860	eV per atom
E	-9.350	eV per atom

a b c (Å): 5.8382 5.8382 17.2582
angles (deg): 90.00 90.00 120.00
Space group R-3m (No. 166, hexagonal axes)
One atom of each set of equivalent atoms:
La  0.0000  0.0000  0.2078 (multiplicity 6)
Pu  0.0000  0.0000  0.0000 (multiplicity 3)
Cr  0.0000  0.0000  0.4328 (multiplicity 6)
N  0.0100  0.5050  0.7562 (multiplicity 18)


20.
DFT (PBE) results for a geometry-optimized KCd2AsRu structure.

Summary:
formation energy	-0.088	eV per atom
magnetization	0.0	μB per formula unit
E	-3.459	eV per atom

a b c (Å): 5.346 5.346 4.664
angles (deg): 90.00 90.00 90.00
Space group P4/mmm (No. 123)
One atom of each set of equivalent atoms:
K  0.000  0.000  0.000 (multiplicity 1)
Cd  0.000  0.500  0.500 (multiplicity 2)
As  0.500  0.500  0.000 (multiplicity 1)
Ru  0.500  0.500  0.500 (multiplicity 1)